# 1
Computed, not measured: a geometry-optimized CaTlFe2Sn structure at the PBE-GGA level of DFT.

Its density of states at the Fermi level is 1.36 states/eV/atom. For the formation energy, the calculation gives 0.847 eV per atom.

The structure belongs to space group P4/mmm (No. 123); the cell edges are 4.7399, 4.7399 and 5.4123 Å and the angles 90.00°, 90.00° and 90.00°. The distinct sites, in fractional coordinates, are Ca at (0.0000, 0.0000, 0.0000), Tl at (0.5000, 0.5000, 0.0000), Fe at (0.0000, 0.5000, 0.5000) and Sn at (0.0000, 0.0000, 0.5000).

***

# 2
Computed, not measured: a geometry-optimized SrCa2Fe structure at the PBE-GGA level of DFT.

Its density of states at the Fermi level is 1.63 states/eV/atom. As for the energy above the most stable polymorph in this dataset: 0.0 meV/atom. For the formation energy, the calculation gives 0.358 eV per atom.

The structure belongs to space group P2/m (No. 10); the cell edges are 3.7397, 3.7384 and 9.7058 Å and the angles 90.00°, 90.11° and 90.00°. The distinct sites, in fractional coordinates, are Sr at (0.0000, 0.0000, 0.0000), Ca at (0.4986, 0.5000, 0.3258) and Fe at (0.0000, 0.0000, 0.5000).

***

# 3
Computed, not measured: a geometry-optimized SrCa2Fe structure at the PBE-GGA level of DFT.

Its density of states at the Fermi level is 2.24 states/eV/atom. As for the energy above the most stable polymorph in this dataset: 191.9 meV/atom. For the formation energy, the calculation gives 0.550 eV per atom.

The structure belongs to space group I-4m2 (No. 119); the cell edges are 5.1789, 5.1789 and 9.8749 Å and the angles 90.00°, 90.00° and 90.00°. The distinct sites, in fractional coordinates, are Sr at (0.0000, 0.0000, 0.0000), Ca at (0.0000, 0.0000, 0.5000), Ca at (0.0000, 0.5000, 0.7500) and Fe at (0.0000, 0.5000, 0.2500).

***

# 4
Computed, not measured: a geometry-optimized SrCaFe structure at the PBE-GGA level of DFT.

Its density of states at the Fermi level is 1.96 states/eV/atom. As for the energy above the most stable polymorph in this dataset: 0.0 meV/atom. For the formation energy, the calculation gives 0.495 eV per atom.

The structure belongs to space group I4mm (No. 107); the cell edges are 3.7048, 3.7048 and 13.7330 Å and the angles 90.00°, 90.00° and 90.00°. The distinct sites, in fractional coordinates, are Sr at (0.0000, 0.0000, 0.0000), Ca at (0.0000, 0.0000, 0.2627) and Fe at (0.0000, 0.0000, 0.6415).

***

# 5
Computed, not measured: a geometry-optimized Sr4Ca2Fe structure at the PBE-GGA level of DFT.

Its density of states at the Fermi level is 1.14 states/eV/atom. For the formation energy, the calculation gives 0.369 eV per atom.

The structure belongs to space group I4/mmm (No. 139); the cell edges are 5.8671, 5.8671 and 19.4452 Å and the angles 90.00°, 90.00° and 90.00°. The distinct sites, in fractional coordinates, are Sr at (0.0000, 0.0000, 0.1591), Sr at (0.0000, 0.5000, 0.0000), Ca at (0.0000, 0.0000, 0.3619) and Fe at (0.0000, 0.0000, 0.0000).

***

# 6
Computed, not measured: a geometry-optimized SrCa2Fe structure at the PBE-GGA level of DFT.

Its density of states at the Fermi level is 2.06 states/eV/atom. As for the energy above the most stable polymorph in this dataset: 113.9 meV/atom. For the formation energy, the calculation gives 0.472 eV per atom.

The structure belongs to space group R-3m (No. 166, hexagonal axes); the cell edges are 3.9056, 3.9056 and 32.4123 Å and the angles 90.00°, 90.00° and 120.00°. The distinct sites, in fractional coordinates, are Sr at (0.0000, 0.0000, 0.0000), Ca at (0.0000, 0.0000, 0.2260) and Fe at (0.0000, 0.0000, 0.5000).

***

# 7
Computed, not measured: a geometry-optimized SrCa2Fe structure at the PBE-GGA level of DFT.

Its density of states at the Fermi level is 1.93 states/eV/atom. As for the energy above the most stable polymorph in this dataset: 190.2 meV/atom. For the formation energy, the calculation gives 0.549 eV per atom.

The structure belongs to space group I4/mmm (No. 139); the cell edges are 4.9929, 4.9929 and 10.6497 Å and the angles 90.00°, 90.00° and 90.00°. The distinct sites, in fractional coordinates, are Sr at (0.0000, 0.0000, 0.0000), Ca at (0.0000, 0.5000, 0.2500) and Fe at (0.0000, 0.0000, 0.5000).

***

# 8
Computed, not measured: a geometry-optimized SrCaFe structure at the PBE-GGA level of DFT.

Its density of states at the Fermi level is 2.21 states/eV/atom. As for the energy above the most stable polymorph in this dataset: 148.7 meV/atom. For the formation energy, the calculation gives 0.644 eV per atom.

The structure belongs to space group P3m1 (No. 156); the cell edges are 3.9486, 3.9486 and 7.4990 Å and the angles 90.00°, 90.00° and 120.00°. The distinct sites, in fractional coordinates, are Sr at (0.0000, 0.0000, 0.0000), Ca at (0.3333, 0.6667, 0.4762) and Fe at (0.6667, 0.3333, 0.7258).

***

# 9
Computed, not measured: a geometry-optimized SrCa2Fe structure at the PBE-GGA level of DFT.

Its density of states at the Fermi level is 1.82 states/eV/atom. As for the energy above the most stable polymorph in this dataset: 21.9 meV/atom. For the formation energy, the calculation gives 0.380 eV per atom.

The structure belongs to space group Pm (No. 6); the cell edges are 3.7554, 3.7470 and 9.6582 Å and the angles 90.00°, 90.09° and 90.00°. The distinct sites, in fractional coordinates, are Sr at (0.0000, 0.0000, 0.0000), Ca at (0.4978, 0.5000, 0.3308), Ca at (0.9993, 0.0000, 0.6297) and Fe at (0.5000, 0.5000, 0.7982).

***

# 10
Computed, not measured: a geometry-optimized SrCa4Fe structure at the PBE-GGA level of DFT.

Its density of states at the Fermi level is 2.16 states/eV/atom. For the formation energy, the calculation gives 0.648 eV per atom.

The structure belongs to space group F-43m (No. 216); the cell edges are 9.9184, 9.9184 and 9.9184 Å and the angles 90.00°, 90.00° and 90.00°. The distinct sites, in fractional coordinates, are Sr at (0.0000, 0.0000, 0.0000), Ca at (0.1242, 0.1242, 0.6242) and Fe at (0.2500, 0.2500, 0.2500).

***

# 11
Computed, not measured: a geometry-optimized SrCa2Fe structure at the PBE-GGA level of DFT.

Its density of states at the Fermi level is 1.75 states/eV/atom. As for the energy above the most stable polymorph in this dataset: 48.4 meV/atom. For the formation energy, the calculation gives 0.407 eV per atom.

The structure belongs to space group C2/m (No. 12); the cell edges are 13.5398, 3.7882 and 5.9524 Å and the angles 90.00°, 116.02° and 90.00°. The distinct sites, in fractional coordinates, are Sr at (0.0000, 0.0000, 0.0000), Ca at (0.1920, 0.0000, 0.6920) and Fe at (0.0000, 0.5000, 0.5000).

***

# 12
Computed, not measured: a geometry-optimized SrCa2Fe structure at the PBE-GGA level of DFT.

Its density of states at the Fermi level is 1.90 states/eV/atom. As for the energy above the most stable polymorph in this dataset: 173.6 meV/atom. For the formation energy, the calculation gives 0.532 eV per atom.

The structure belongs to space group P4/mmm (No. 123); the cell edges are 4.9840, 4.9840 and 5.3654 Å and the angles 90.00°, 90.00° and 90.00°. The distinct sites, in fractional coordinates, are Sr at (0.0000, 0.0000, 0.0000), Ca at (0.0000, 0.5000, 0.5000) and Fe at (0.5000, 0.5000, 0.0000).

***

# 13
Computed, not measured: a geometry-optimized SrCa2Fe structure at the PBE-GGA level of DFT.

Its density of states at the Fermi level is 0.31 states/eV/atom. As for the energy above the most stable polymorph in this dataset: 494.8 meV/atom. For the formation energy, the calculation gives 0.853 eV per atom.

The structure belongs to space group I4_1/amd (No. 141, origin choice 2); the cell edges are 7.7029, 7.7029 and 10.7899 Å and the angles 90.00°, 90.00° and 90.00°. The distinct sites, in fractional coordinates, are Sr at (0.0000, 0.2500, 0.3750), Ca at (0.0000, 0.0000, 0.0000) and Fe at (0.0000, 0.2500, 0.8750).

***

# 14
Computed, not measured: a geometry-optimized SrCa2Fe structure at the PBE-GGA level of DFT.

Its density of states at the Fermi level is 1.07 states/eV/atom. As for the energy above the most stable polymorph in this dataset: 390.0 meV/atom. For the formation energy, the calculation gives 0.748 eV per atom.

The structure belongs to space group Fm-3m (No. 225); the cell edges are 7.7529, 7.7529 and 7.7529 Å and the angles 90.00°, 90.00° and 90.00°. The distinct sites, in fractional coordinates, are Sr at (0.0000, 0.0000, 0.0000), Ca at (0.2500, 0.2500, 0.2500) and Fe at (0.0000, 0.0000, 0.5000).

***

# 15
Computed, not measured: a geometry-optimized SrCaFe structure at the PBE-GGA level of DFT.

Its density of states at the Fermi level is 1.18 states/eV/atom. As for the energy above the most stable polymorph in this dataset: 158.9 meV/atom. For the formation energy, the calculation gives 0.654 eV per atom.

The structure belongs to space group F-43m (No. 216); the cell edges are 7.4428, 7.4428 and 7.4428 Å and the angles 90.00°, 90.00° and 90.00°. The distinct sites, in fractional coordinates, are Sr at (0.0000, 0.0000, 0.0000), Ca at (0.0000, 0.0000, 0.5000) and Fe at (0.2500, 0.2500, 0.7500).

***

# 16
Computed, not measured: a geometry-optimized SrCa2Fe structure at the PBE-GGA level of DFT.

Its density of states at the Fermi level is 1.57 states/eV/atom. As for the energy above the most stable polymorph in this dataset: 86.5 meV/atom. For the formation energy, the calculation gives 0.445 eV per atom.

The structure belongs to space group Cm (No. 8); the cell edges are 13.6268, 3.8386 and 5.8201 Å and the angles 90.00°, 115.23° and 90.00°. The distinct sites, in fractional coordinates, are Sr at (0.0000, 0.0000, 0.0000), Ca at (0.1932, 0.0000, 0.6929), Ca at (0.3807, 0.0000, 0.3808) and Fe at (0.1993, 0.5000, 0.1987).

***

# 17
Computed, not measured: a geometry-optimized SrCa3Fe structure at the PBE-GGA level of DFT.

Its density of states at the Fermi level is 3.63 states/eV/atom. For the formation energy, the calculation gives 1.586 eV per atom.

The structure belongs to space group Pm-3m (No. 221); the cell edges are 6.1950, 6.1950 and 6.1950 Å and the angles 90.00°, 90.00° and 90.00°. The distinct sites, in fractional coordinates, are Sr at (0.0000, 0.0000, 0.0000), Ca at (0.0000, 0.0000, 0.5000) and Fe at (0.5000, 0.5000, 0.5000).

***

# 18
Computed, not measured: a geometry-optimized Ca3TaFe structure at the PBE-GGA level of DFT.

Its density of states at the Fermi level is 2.95 states/eV/atom. As for the energy above the most stable polymorph in this dataset: 543.8 meV/atom. For the formation energy, the calculation gives 1.870 eV per atom.

The structure belongs to space group Pm-3m (No. 221); the cell edges are 5.5411, 5.5411 and 5.5411 Å and the angles 90.00°, 90.00° and 90.00°. The distinct sites, in fractional coordinates, are Ca at (0.0000, 0.0000, 0.5000), Ta at (0.0000, 0.0000, 0.0000) and Fe at (0.5000, 0.5000, 0.5000).

***

# 19
Computed, not measured: a geometry-optimized CaTaFe2 structure at the PBE-GGA level of DFT.

Its density of states at the Fermi level is 1.03 states/eV/atom. As for the energy above the most stable polymorph in this dataset: 274.6 meV/atom. For the formation energy, the calculation gives 0.473 eV per atom.

The structure belongs to space group P4/mmm (No. 123); the cell edges are 4.5036, 4.5036 and 3.0622 Å and the angles 90.00°, 90.00° and 90.00°. The distinct sites, in fractional coordinates, are Ca at (0.0000, 0.0000, 0.0000), Ta at (0.5000, 0.5000, 0.0000) and Fe at (0.0000, 0.5000, 0.5000).

***

# 20
Computed, not measured: a geometry-optimized Ca2TaFe structure at the PBE-GGA level of DFT.

Its density of states at the Fermi level is 1.52 states/eV/atom. As for the energy above the most stable polymorph in this dataset: 134.8 meV/atom. For the formation energy, the calculation gives 0.393 eV per atom.

The structure belongs to space group Cm (No. 8); the cell edges are 6.9852, 4.0306 and 8.5288 Å and the angles 90.00°, 105.95° and 90.00°. The distinct sites, in fractional coordinates, are Ca at (0.0000, 0.0000, 0.0000), Ca at (0.1857, 0.0000, 0.5534), Ta at (0.4274, 0.0000, 0.2808) and Fe at (0.2541, 0.5000, 0.2610).